[1]
The following is a PBE calculation of a relaxed structure of Th2Cd3Ag2, from Alexandria.

Cell lengths 4.6472, 5.7792, 7.1376 Å; angles 96.48, 90.00, 113.71 degrees
Closest atoms and distances in Å follow each position.
Sites, in units of the cell vectors:
Th: 0.6115 0.2230 0.3461  5 Ag 3.04-3.24
Th: 0.3885 0.7770 0.6539  5 Ag 3.04-3.24
Cd: 0.2975 0.5949 0.1370  2 Ag 2.90, 3 Cd 3.12-3.18
Cd: 0.0000 0.0000 0.0000  2 Ag 2.82
Cd: 0.7025 0.4051 0.8630  2 Ag 2.90, 3 Cd 3.12-3.18
Ag: 0.1010 0.2021 0.6518  3 Cd 2.82-2.90, 1 Ag 2.85, 1 Th 3.04
Ag: 0.8990 0.7979 0.3482  3 Cd 2.82-2.90, 1 Ag 2.85, 1 Th 3.04

Calculated values
SG = C2/m, No. 12
ΔE to the lowest computed polymorph = 0.000 eV per formula unit
Formation energy = -0.06 eV per atom

[2]
The following is a PBE calculation of a relaxed structure of ThCd3Ag4, from Alexandria.

Cell lengths 4.7824, 4.7824, 9.1946 Å; angles 74.93, 74.93, 60.00 degrees
Closest atoms and distances in Å follow each position.
Sites, in units of the cell vectors:
Ag: 0.8717 0.8717 0.3850  7 Cd 2.94-3.15
Ag: 0.3920 0.3920 0.8239  4 Cd 2.84-2.85, 3 Th 3.16
Ag: 0.1283 0.1283 0.6150  7 Cd 2.94-3.15
Ag: 0.6080 0.6080 0.1761  4 Cd 2.84-2.85, 3 Th 3.16
Th: 0.0000 0.0000 0.0000  8 Ag 3.16-3.38
Cd: 0.2480 0.2480 0.2560  7 Ag 2.85-3.15
Cd: 0.7520 0.7520 0.7440  7 Ag 2.85-3.15
Cd: 0.5000 0.5000 0.5000  8 Ag 2.84-2.94

Calculated values
SG = R-3m, No. 166
Formation energy = -0.05 eV per atom

[3]
The following is a PBE calculation of a relaxed structure of ThCd2Ag, from Alexandria.

Cell lengths 3.4414, 3.4414, 7.9579 Å; angles 90.00, 90.00, 90.00 degrees
Closest atoms and distances in Å follow each position.
Sites, in units of the cell vectors:
Ag: 0.5000 0.5000 0.0000  8 Cd 2.94
Th: 0.5000 0.5000 0.5000  8 Cd 3.37, 4 Th 3.44
Cd: 0.0000 0.0000 0.7926  4 Ag 2.94
Cd: 0.0000 0.0000 0.2074  4 Ag 2.94

Calculated values
SG = P4/mmm, No. 123
Formation energy = -0.08 eV per atom